A relaxed BePdS crystal, computed with PBE.

```
BePdS
1.0
3.524 0.000 0.000
-0.001 5.575 0.003
0.000 1.671 4.616
Be Pd S
2 2 2
direct
0.133 0.619 0.053
0.600 0.119 0.553
0.307 0.484 0.594
0.428 0.984 0.094
0.645 0.741 0.813
0.090 0.241 0.313
```

space group = No. 7
uncorrected formation energy = -467.7 meV per atom

=====

A relaxed DyCd2In crystal, computed with PBE.

```
DyCd2In
1.0
-0.103 -3.679 -4.511
-0.339 -3.905 3.193
-4.538 -1.676 1.471
Cd Dy In
2 1 1
direct
0.500 0.000 0.000
0.500 0.333 0.333
0.000 0.000 0.000
0.500 0.667 0.667
```

formation enthalpy at 0 K = 0.42 eV/atom
space group = No. 187

=====

A relaxed CsNdTmTe3 crystal, computed with PBE.

```
CsNdTmTe3
1.0
-2.059 -3.616 -2.937
8.569 -4.570 -0.382
-6.926 -3.093 8.666
Nd Te Cs Tm
2 6 2 2
direct
0.750 0.343 0.884
0.250 0.657 0.116
0.750 0.886 0.123
0.750 0.505 0.186
0.250 0.114 0.877
0.250 0.495 0.814
0.250 0.799 0.463
0.750 0.201 0.537
0.250 0.229 0.244
0.750 0.771 0.756
0.750 0.857 0.363
0.250 0.143 0.637
```

space group = No. 11
uncorrected formation energy = -1263.1 meV per atom

=====

A relaxed Pm8Ga2Tc crystal, computed with PBE.

```
Pm8Ga2Tc
1.0
-0.383 -4.549 2.372
4.094 -2.878 -4.858
6.003 5.054 5.083
Pm Ga Tc
8 2 1
direct
0.344 0.043 0.688
0.592 0.445 0.184
0.797 0.701 0.595
0.656 0.957 0.312
0.203 0.299 0.405
0.022 0.782 0.043
0.978 0.218 0.957
0.408 0.555 0.816
0.811 0.275 0.621
0.189 0.725 0.379
0.500 0.000 0.000
```

formation enthalpy at 0 K = -0.18 eV/atom
space group = No. 12

=====

A relaxed Ca2TaIr crystal, computed with PBE.

```
Ca2TaIr
1.0
4.889 0.004 0.000
0.006 4.889 0.000
-2.448 -2.446 3.454
Ir Ca Ta
1 2 1
direct
0.500 0.500 0.000
0.250 0.750 0.500
0.000 0.000 0.000
0.750 0.250 0.500
```

formation enthalpy at 0 K = 0.31 eV/atom
space group = No. 119

=====

A relaxed Li5B8C8 crystal, computed with PBE.

```
Li5B8C8
1.0
-2.928 5.948 5.583
-6.253 -4.293 -4.064
-0.008 -1.861 1.978
C Li B
8 5 8
direct
0.467 0.202 0.000
0.964 0.703 0.000
0.036 0.297 0.000
0.533 0.798 0.000
0.715 0.452 0.500
0.285 0.548 0.500
0.210 0.958 0.500
0.790 0.042 0.500
0.250 0.751 0.000
0.750 0.249 0.000
0.500 0.000 0.500
0.000 0.000 0.000
0.000 0.500 0.500
0.205 0.459 0.000
0.295 0.045 0.000
0.955 0.211 0.500
0.795 0.541 0.000
0.045 0.789 0.500
0.452 0.710 0.500
0.705 0.955 0.000
0.548 0.290 0.500
```

formation enthalpy at 0 K = -0.12 eV/atom
space group = No. 10

=====

A relaxed Sm2HoRh9 crystal, computed with PBE.

```
Sm2HoRh9
1.0
-4.832 0.875 -1.922
-3.629 -3.823 0.149
-5.473 1.845 7.367
Rh Sm Ho
9 2 1
direct
0.667 0.667 0.999
0.581 0.082 0.755
0.500 0.500 0.500
0.581 0.581 0.755
0.419 0.918 0.245
0.333 0.333 0.001
0.918 0.419 0.245
0.082 0.581 0.755
0.419 0.419 0.245
0.861 0.861 0.416
0.139 0.139 0.584
0.000 0.000 0.000
```

formation enthalpy at 0 K = -0.53 eV/atom
space group = No. 166

=====

A relaxed Pm15Er4Sc crystal, computed with PBE.

```
Pm15Er4Sc
1.0
5.099 0.000 0.000
0.000 5.099 0.000
0.000 0.000 25.403
Pm Er Sc
15 4 1
direct
0.500 0.000 0.500
0.500 0.000 0.299
0.500 0.500 0.000
0.500 0.000 0.903
0.500 0.500 0.399
0.000 0.500 0.701
0.500 0.000 0.097
0.000 0.500 0.097
0.500 0.500 0.198
0.000 0.500 0.500
0.500 0.000 0.701
0.500 0.500 0.601
0.000 0.500 0.903
0.500 0.500 0.802
0.000 0.500 0.299
0.000 0.000 0.198
0.000 0.000 0.802
0.000 0.000 0.399
0.000 0.000 0.601
0.000 0.000 0.000
```

formation enthalpy at 0 K = 0.02 eV/atom
space group = No. 123

=====

A relaxed GaRe crystal, computed with PBE.

```
GaRe
1.0
-2.096 0.154 -2.248
-1.936 -1.693 1.689
-1.152 2.564 1.250
Re Ga
1 1
direct
0.500 0.500 0.000
0.000 0.000 0.500
```

formation enthalpy at 0 K = 0.33 eV/atom
space group = No. 221

=====

A relaxed Na4SbSe4 crystal, computed with PBE.

```
Na4SbSe4
1.0
7.078 0.000 0.000
0.000 7.078 0.000
-3.539 -3.539 6.160
Sb Na Se
1 4 4
direct
0.000 0.000 0.000
0.500 0.000 0.000
0.000 0.500 0.000
0.709 0.709 0.418
0.291 0.291 0.582
0.911 0.339 0.250
0.339 0.911 0.250
0.661 0.661 0.750
0.089 0.089 0.750
```

space group = No. 121
uncorrected formation energy = -729.4 meV per atom

=====

A relaxed CaWS2N crystal, computed with PBE.

```
CaWS2N
1.0
5.189 0.000 0.000
0.000 5.189 0.000
0.000 0.000 4.246
N W S Ca
1 1 2 1
direct
0.000 0.000 0.500
0.500 0.500 0.500
0.500 0.000 0.000
0.000 0.500 0.000
0.000 0.000 0.000
```

space group = No. 123
uncorrected formation energy = 1543.3 meV per atom

=====

A relaxed LiAlSe2 crystal, computed with PBE.

```
LiAlSe2
1.0
-3.615 1.284 1.211
-2.197 -1.423 -5.057
-1.754 -7.689 2.924
Se Li Al
4 2 2
direct
0.201 0.121 0.992
0.701 0.621 0.224
0.701 0.588 0.744
0.201 0.088 0.472
0.701 0.340 0.493
0.202 0.841 0.723
0.701 0.384 0.978
0.201 0.884 0.238
```

space group = No. 31
uncorrected formation energy = -1001.4 meV per atom